[1]
Entry from the Alexandria database: an optimized crystal structure of MnBiPS2 (GGA-PBEsol).

a b c (Å): 4.5089 4.5089 4.6080
angles (deg): 90.00 90.00 90.00
With the nearest neighbours (Å) after each atom.
Fractional coordinates of all 5 atoms:
Mn  0.0000  0.0000  0.0000  4 S 2.25, 2 P 2.30
Bi  0.5000  0.5000  0.5000  4 P 3.19, 8 S 3.22
P  0.0000  0.0000  0.5000  2 Mn 2.30
S  0.0000  0.5000  0.0000  2 Mn 2.25
S  0.5000  0.0000  0.0000  2 Mn 2.25

Results
- Uncorrected formation energy: 0.090 eV per atom

---

[2]
Entry from the Alexandria database: an optimized crystal structure of SrMnBiPb2 (GGA-PBEsol).

a b c (Å): 6.0432 6.0432 4.9899
angles (deg): 90.00 90.00 90.00
With the nearest neighbours (Å) after each atom.
Fractional coordinates of all 5 atoms:
Sr  0.0000  0.0000  0.0000  8 Pb 3.92, 4 Mn 4.27
Mn  0.5000  0.5000  0.0000  2 Bi 2.49
Bi  0.5000  0.5000  0.5000  2 Mn 2.49
Pb  0.0000  0.5000  0.5000  2 Bi 3.02
Pb  0.5000  0.0000  0.5000  2 Bi 3.02

Results
- Energy of formation: 527 meV/atom

---

[3]
Entry from the Alexandria database: an optimized crystal structure of RbMnBi2 (GGA-PBEsol).

a b c (Å): 8.2892 8.2892 8.2892
angles (deg): 129.64 129.64 73.99
With the nearest neighbours (Å) after each atom.
Fractional coordinates of all 8 atoms:
Rb  0.3750  0.6250  0.7500  8 Bi 4.28
Rb  0.6250  0.3750  0.2500  8 Bi 4.28
Mn  0.1250  0.8750  0.2500  4 Bi 2.42
Mn  0.8750  0.1250  0.7500  4 Bi 2.42
Bi  0.0000  0.0000  0.0000  2 Mn 2.42
Bi  0.0000  0.0000  0.5000  2 Mn 2.42
Bi  0.0000  0.5000  0.0000  2 Mn 2.42
Bi  0.5000  0.0000  0.5000  2 Mn 2.42

Results
- Energy of formation: 365 meV/atom

---

[4]
Entry from the Alexandria database: an optimized crystal structure of Mn3ReBi (GGA-PBEsol).

a b c (Å): 4.6004 4.6004 4.6004
angles (deg): 90.00 90.00 90.00
With the nearest neighbours (Å) after each atom.
Fractional coordinates of all 5 atoms:
Mn  0.0000  0.0000  0.5000  2 Re 2.30
Mn  0.0000  0.5000  0.0000  2 Re 2.30
Mn  0.5000  0.0000  0.0000  2 Re 2.30
Re  0.0000  0.0000  0.0000  6 Mn 2.30
Bi  0.5000  0.5000  0.5000  12 Mn 3.25

Results
- Energy of formation: 1223 meV/atom

---

We obtain V values of 18.74 36.45 41.18 19.47 Å³/atom for the records listed above, in that order.